No. 1
# VHF2 | Alexandria | PBE with a Hubbard U | relaxed
data_VHF2
_cell_length_a 6.093
_cell_length_b 6.093
_cell_length_c 6.093
_cell_angle_alpha 29.56
_cell_angle_beta 29.56
_cell_angle_gamma 29.56
_space_group_name_H-M_alt 'P 1'
_space_group_IT_number 1
loop_
_space_group_symop_operation_xyz
'x,y,z'
loop_
_atom_site_label
_atom_site_type_symbol
_atom_site_fract_x
_atom_site_fract_y
_atom_site_fract_z
V1 V 0.000 0.000 0.000
H1 H 0.500 0.500 0.500
F1 F 0.434 0.434 0.434
F2 F 0.566 0.566 0.566
# energy above the lowest structure with this stoichiometry: 2.8 kJ per mole of atoms
# space-group type: R-3m, No. 166
# D(E_F): 0.265 states/eV/atom


No. 2
# VHF2 | Alexandria | PBE with a Hubbard U | relaxed
data_VHF2
_cell_length_a 3.692
_cell_length_b 3.692
_cell_length_c 3.692
_cell_angle_alpha 60.00
_cell_angle_beta 60.00
_cell_angle_gamma 60.00
_space_group_name_H-M_alt 'P 1'
_space_group_IT_number 1
loop_
_space_group_symop_operation_xyz
'x,y,z'
loop_
_atom_site_label
_atom_site_type_symbol
_atom_site_fract_x
_atom_site_fract_y
_atom_site_fract_z
V1 V 0.000 0.000 0.000
H1 H 0.500 0.500 0.500
F1 F 0.250 0.250 0.250
F2 F 0.750 0.750 0.750
# energy above the lowest structure with this stoichiometry: 0.0 kJ per mole of atoms
# space-group type: Fm-3m, No. 225
# D(E_F): 0.485 states/eV/atom


No. 3
# VHF | Alexandria | PBE with a Hubbard U | relaxed
data_VHF
_cell_length_a 3.162
_cell_length_b 3.162
_cell_length_c 8.551
_cell_angle_alpha 100.39
_cell_angle_beta 100.39
_cell_angle_gamma 59.96
_space_group_name_H-M_alt 'P 1'
_space_group_IT_number 1
loop_
_space_group_symop_operation_xyz
'x,y,z'
loop_
_atom_site_label
_atom_site_type_symbol
_atom_site_fract_x
_atom_site_fract_y
_atom_site_fract_z
V1 V 0.242 0.242 0.227
V2 V 0.758 0.758 0.773
H1 H 0.125 0.125 0.875
H2 H 0.875 0.875 0.125
F1 F 0.384 0.384 0.646
F2 F 0.616 0.616 0.354
# space-group type: C2/m, No. 12
# D(E_F): 0.000 states/eV/atom


No. 4
# VHF2 | Alexandria | PBE with a Hubbard U | relaxed
data_VHF2
_cell_length_a 5.056
_cell_length_b 5.056
_cell_length_c 5.056
_cell_angle_alpha 126.25
_cell_angle_beta 126.25
_cell_angle_gamma 79.48
_space_group_name_H-M_alt 'P 1'
_space_group_IT_number 1
loop_
_space_group_symop_operation_xyz
'x,y,z'
loop_
_atom_site_label
_atom_site_type_symbol
_atom_site_fract_x
_atom_site_fract_y
_atom_site_fract_z
V1 V 0.000 0.000 0.000
V2 V 0.750 0.250 0.500
H1 H 0.250 0.750 0.500
H2 H 0.500 0.500 0.000
F1 F 0.245 0.625 0.120
F2 F 0.375 0.495 0.620
F3 F 0.505 0.125 0.880
F4 F 0.875 0.755 0.380
# energy above the lowest structure with this stoichiometry: 37.5 kJ per mole of atoms
# space-group type: I-42d, No. 122
# D(E_F): 0.283 states/eV/atom


No. 5
# VH2F8 | Alexandria | PBE with a Hubbard U | relaxed
data_VH2F8
_cell_length_a 5.408
_cell_length_b 5.408
_cell_length_c 8.225
_cell_angle_alpha 112.10
_cell_angle_beta 112.10
_cell_angle_gamma 55.26
_space_group_name_H-M_alt 'P 1'
_space_group_IT_number 1
loop_
_space_group_symop_operation_xyz
'x,y,z'
loop_
_atom_site_label
_atom_site_type_symbol
_atom_site_fract_x
_atom_site_fract_y
_atom_site_fract_z
V1 V 0.000 0.000 0.000
H1 H 0.228 0.228 0.383
H2 H 0.772 0.772 0.617
F1 F 0.180 0.683 0.105
F2 F 0.189 0.189 0.198
F3 F 0.256 0.256 0.515
F4 F 0.317 0.820 0.895
F5 F 0.683 0.180 0.105
F6 F 0.744 0.744 0.485
F7 F 0.811 0.811 0.802
F8 F 0.820 0.317 0.895
# energy above the lowest structure with this stoichiometry: 0.0 kJ per mole of atoms
# space-group type: C2/m, No. 12
# D(E_F): 0.181 states/eV/atom


No. 6
# VHF3 | Alexandria | PBE with a Hubbard U | relaxed
data_VHF3
_cell_length_a 3.945
_cell_length_b 3.945
_cell_length_c 3.945
_cell_angle_alpha 90.00
_cell_angle_beta 90.00
_cell_angle_gamma 90.00
_space_group_name_H-M_alt 'P 1'
_space_group_IT_number 1
loop_
_space_group_symop_operation_xyz
'x,y,z'
loop_
_atom_site_label
_atom_site_type_symbol
_atom_site_fract_x
_atom_site_fract_y
_atom_site_fract_z
V1 V 0.000 0.000 0.000
H1 H 0.500 0.500 0.500
F1 F 0.000 0.000 0.500
F2 F 0.000 0.500 0.000
F3 F 0.500 0.000 0.000
# energy above the lowest structure with this stoichiometry: 0.0 kJ per mole of atoms
# space-group type: Pm-3m, No. 221
# D(E_F): 0.701 states/eV/atom


No. 7
# V3HF | Alexandria | PBE with a Hubbard U | relaxed
data_V3HF
_cell_length_a 3.843
_cell_length_b 3.843
_cell_length_c 3.843
_cell_angle_alpha 90.00
_cell_angle_beta 90.00
_cell_angle_gamma 90.00
_space_group_name_H-M_alt 'P 1'
_space_group_IT_number 1
loop_
_space_group_symop_operation_xyz
'x,y,z'
loop_
_atom_site_label
_atom_site_type_symbol
_atom_site_fract_x
_atom_site_fract_y
_atom_site_fract_z
V1 V 0.000 0.000 0.500
V2 V 0.000 0.500 0.000
V3 V 0.500 0.000 0.000
H1 H 0.000 0.000 0.000
F1 F 0.500 0.500 0.500
# space-group type: Pm-3m, No. 221
# D(E_F): 0.710 states/eV/atom


No. 8
# VH3F7 | Alexandria | PBE with a Hubbard U | relaxed
data_VH3F7
_cell_length_a 5.424
_cell_length_b 5.424
_cell_length_c 5.651
_cell_angle_alpha 115.47
_cell_angle_beta 115.47
_cell_angle_gamma 94.49
_space_group_name_H-M_alt 'P 1'
_space_group_IT_number 1
loop_
_space_group_symop_operation_xyz
'x,y,z'
loop_
_atom_site_label
_atom_site_type_symbol
_atom_site_fract_x
_atom_site_fract_y
_atom_site_fract_z
V1 V 0.000 0.000 0.000
H1 H 0.039 0.541 0.534
H2 H 0.525 0.525 0.149
H3 H 0.541 0.039 0.534
F1 F 0.150 0.738 0.724
F2 F 0.251 0.921 0.288
F3 F 0.276 0.276 0.073
F4 F 0.685 0.685 0.230
F5 F 0.693 0.693 0.766
F6 F 0.738 0.150 0.724
F7 F 0.921 0.251 0.288
# space-group type: Cm, No. 8
# D(E_F): 0.000 states/eV/atom


Raw total energy in Ha/atom, matching the order above: -0.1745, -0.1756, -0.1968, -0.1613, -0.1646, -0.1840, -0.1662, -0.1770